Density functional theory data (PBE) for an optimized crystal structure of TiBeCu.

Structure (POSCAR):
```
TiBeCu
1.0
2.4941 -5.1848 0.0000
2.4941 5.1848 0.0000
0.0000 0.0000 5.8816
Ti Be Cu
4 4 4
direct
0.1891 0.8109 0.9225
0.3109 0.6891 0.4225
0.6891 0.3109 0.5775
0.8109 0.1891 0.0775
0.0939 0.9061 0.5558
0.4061 0.5939 0.0558
0.5939 0.4061 0.9442
0.9061 0.0939 0.4442
0.1959 0.3041 0.7500
0.3041 0.1959 0.2500
0.6959 0.8041 0.7500
0.8041 0.6959 0.2500
```

Values from the calculation:
ΔH_f (0 K), eV/atom: -0.029
Calculated volume, Å³/cell: 152
Excess energy over the best structure of this formula in the dataset, meV per atom: 96
SG: No. 64
Total DFT energy (no corrections), eV for the cell shown: -63.22